LiRe2Ru at its PBEsol-relaxed geometry, computed with meta-GGA SCAN.

Summary:
D(E_F) in states/eV/cell: 2.201
VASP energy in Ry per atom: -3.287
Energy above the most stable polymorph in this dataset in meV per atom: 0
Energy of formation from the pure elements in meV/atom: 136

a b c (Å): 2.6585 4.1767 4.8859
angles (deg): 90.00 97.50 90.00
Space group Pm (No. 6)
Symmetry-distinct sites (fractional):
Li 0.0000 0.0000 0.0000 x1
Re 0.4839 0.0000 0.5001 x1
Re 0.6603 0.5000 0.2184 x1
Ru 0.1138 0.5000 0.7459 x1